The following is a PBE calculation of a relaxed Sr2Zn5Rh crystal, from the Alexandria database.

Values from the calculation:
formation enthalpy at 0 K	-1.9	eV per formula unit
raw total energy	-2.368	eV per atom

Cell lengths 5.9419, 5.9419, 10.9163 Å; angles 90.00, 90.00, 90.00 degrees
With the nearest neighbours (Å) after each atom.
Space group I4mm (No. 107)
Inequivalent atoms, fractional coordinates:
Sr1 0.0000 0.5000 0.0000 (multiplicity 4)  10 Zn 3.22-3.48, 2 Rh 3.26
Zn1 0.0000 0.0000 0.1139 (multiplicity 2)  4 Zn 2.59, 1 Rh 2.59
Zn2 0.2480 0.2480 0.2543 (multiplicity 8)  1 Rh 2.50, 1 Zn 2.59
Rh1 0.0000 0.0000 0.8765 (multiplicity 2)  5 Zn 2.50-2.59

The following is a PBE calculation of a relaxed SrZn2Rh crystal, from the Alexandria database.

Values from the calculation:
formation enthalpy at 0 K	-0.7	eV per formula unit
raw total energy	-3.071	eV per atom

Cell lengths 4.7702, 4.7702, 17.5496 Å; angles 90.00, 90.00, 90.00 degrees
With the nearest neighbours (Å) after each atom.
Space group I4_1/amd (No. 141, origin choice 2)
Inequivalent atoms, fractional coordinates:
Sr1 0.0000 0.2500 0.3750 (multiplicity 4)  4 Rh 3.37, 8 Zn 3.45
Zn1 0.0000 0.0000 0.0000 (multiplicity 8)  2 Zn 2.39, 2 Rh 2.50
Rh1 0.0000 0.2500 0.8750 (multiplicity 4)  4 Zn 2.50

The following is a PBE calculation of a relaxed SrZn2Rh2 crystal, from the Alexandria database.

Values from the calculation:
formation enthalpy at 0 K	-1.7	eV per formula unit
polymorph energy (0 for the lowest one)	0	meV per atom
raw total energy	-4.128	eV per atom

Cell lengths 4.3051, 4.3051, 21.0588 Å; angles 90.00, 90.00, 90.00 degrees
With the nearest neighbours (Å) after each atom.
Space group I4/mmm (No. 139)
Inequivalent atoms, fractional coordinates:
Sr1 0.0000 0.0000 0.1314 (multiplicity 4)  8 Zn 3.26-3.51, 8 Rh 3.30-3.34
Zn1 0.0000 0.0000 0.3134 (multiplicity 4)  5 Rh 2.53-2.54
Zn2 0.0000 0.5000 0.0000 (multiplicity 4)  4 Rh 2.56
Rh1 0.0000 0.0000 0.4340 (multiplicity 4)  5 Zn 2.54-2.56, 1 Rh 2.78
Rh2 0.0000 0.5000 0.2500 (multiplicity 4)  4 Zn 2.53

The following is a PBE calculation of a relaxed SrZn2Rh2 crystal, from the Alexandria database.

Values from the calculation:
formation enthalpy at 0 K	-1.6	eV per formula unit
polymorph energy (0 for the lowest one)	14	meV per atom
raw total energy	-4.114	eV per atom

Cell lengths 4.5084, 4.5084, 9.6132 Å; angles 90.00, 90.00, 90.00 degrees
With the nearest neighbours (Å) after each atom.
Space group I4/mmm (No. 139)
Inequivalent atoms, fractional coordinates:
Sr1 0.0000 0.0000 0.0000 (multiplicity 2)  8 Rh 3.30, 10 Zn 3.45-3.49
Zn1 0.0000 0.0000 0.3634 (multiplicity 4)  4 Rh 2.50, 1 Zn 2.63
Rh1 0.0000 0.5000 0.2500 (multiplicity 4)  4 Zn 2.50

Q: formation enthalpy at 0 K of number 2 (SrZn2Rh)?
A: -0.7 eV per formula unit